(1)
First-principles (PBE-GGA) data for Ta3NbTc after structural relaxation, as listed in the Alexandria database.

As for the density of states at the Fermi level: 0.7626 states/eV/atom.

The space group is Pnma (No. 62) and the conventional cell measures 5.2701, 9.0308 and 7.7798 Å, with angles of 90.00, 90.00 and 90.00 degrees. Symmetry generates all atoms from Ta at (0.0781, 0.0549, 0.1635), Ta at (0.2042, 0.2500, 0.4751), Nb at (0.1882, 0.2500, 0.8350) and Tc at (0.0000, 0.0000, 0.5000).

(2)
First-principles (PBE-GGA) data for Ta2Nb3Tc after structural relaxation, as listed in the Alexandria database.

As for the density of states at the Fermi level: 1.1132 states/eV/atom.

The space group is Cmmm (No. 65) and the conventional cell measures 4.6027, 13.8452 and 6.5940 Å, with angles of 90.00, 90.00 and 90.00 degrees. Symmetry generates all atoms from Ta at (0.0000, 0.0000, 0.0000), Ta at (0.0000, 0.0000, 0.5000), Ta at (0.0000, 0.3332, 0.0000), Nb at (0.0000, 0.1692, 0.2581), Nb at (0.0000, 0.5000, 0.2557) and Tc at (0.0000, 0.3330, 0.5000).

(3)
First-principles (PBE-GGA) data for Ta2NbTc after structural relaxation, as listed in the Alexandria database.

As for the density of states at the Fermi level: 0.7542 states/eV/atom.

The space group is I-42d (No. 122) and the conventional cell measures 7.3264, 7.3264 and 5.5542 Å, with angles of 90.00, 90.00 and 90.00 degrees. Symmetry generates all atoms from Ta at (0.2253, 0.2500, 0.1250), Nb at (0.0000, 0.0000, 0.5000) and Tc at (0.0000, 0.0000, 0.0000).

no.,energy relative to the elements (meV per atom),uncorrected energy (eV per atom)
1,173,-11.025
2,-141,-10.855
3,510,-10.526